DFT (GGA-PBE) results for crystalline NaUCu2Te4 at its relaxed geometry.

Unit cell a=7.041 b=7.614 c=8.015 alpha=90.00 beta=90.00 gamma=90.00
Space group I222 (No. 23)
Symmetry-distinct sites (fractional):
1 Na 0.000 0.000 0.000 x2
2 U 0.000 0.000 0.500 x2
3 Cu 0.000 0.500 0.156 x4
4 Te 0.248 0.255 0.798 x8

Output
energy relative to the elements, uncorrected = -0.233 eV per atom
final energy = -0.162 hartree per atom
density of states at the Fermi level = 18.38 states/eV per cell



DFT (GGA-PBE) results for crystalline Na3U3CuTe8 at its relaxed geometry.

Unit cell a=14.937 b=8.639 c=9.143 alpha=90.00 beta=122.98 gamma=90.00
Space group C2/m (No. 12)
Symmetry-distinct sites (fractional):
1 Na 0.000 0.000 0.000 x2
2 Na 0.250 0.250 0.000 x4
3 U 0.000 0.500 0.500 x2
4 U 0.250 0.250 0.500 x4
5 Cu 0.000 0.000 0.500 x2
6 Te 0.008 0.244 0.279 x8
7 Te 0.235 0.000 0.720 x4
8 Te 0.246 0.500 0.739 x4

Output
energy relative to the elements, uncorrected = -0.616 eV per atom
final energy = -0.187 hartree per atom
density of states at the Fermi level = 38.92 states/eV per cell



DFT (GGA-PBE) results for crystalline Na2UCuTe4 at its relaxed geometry.

Unit cell a=7.727 b=7.727 c=7.223 alpha=90.00 beta=90.00 gamma=90.00
Space group I-42m (No. 121)
Symmetry-distinct sites (fractional):
1 Na 0.000 0.500 0.000 x4
2 U 0.000 0.000 0.000 x2
3 Cu 0.000 0.000 0.500 x2
4 Te 0.196 0.196 0.290 x8

Output
energy relative to the elements, uncorrected = -0.493 eV per atom
final energy = -0.159 hartree per atom
density of states at the Fermi level = 19.73 states/eV per cell



DFT (GGA-PBE) results for crystalline NaUCuTe3 at its relaxed geometry.

Unit cell a=8.770 b=4.263 c=10.204 alpha=90.00 beta=106.23 gamma=90.00
Space group P2_1/m (No. 11)
Symmetry-distinct sites (fractional):
1 Na 0.214 0.250 0.277 x2
2 U 0.316 0.750 0.834 x2
3 Cu 0.083 0.250 0.589 x2
4 Te 0.076 0.250 0.847 x2
5 Te 0.236 0.750 0.529 x2
6 Te 0.426 0.750 0.152 x2

Output
energy relative to the elements, uncorrected = -0.604 eV per atom
final energy = -0.182 hartree per atom
density of states at the Fermi level = 14.58 states/eV per cell



DFT (GGA-PBE) results for crystalline Na4U3CuTe8 at its relaxed geometry.

Unit cell a=15.195 b=8.749 c=9.076 alpha=90.00 beta=123.96 gamma=90.00
Space group C2/m (No. 12)
Symmetry-distinct sites (fractional):
1 Na 0.000 0.000 0.000 x2
2 Na 0.000 0.500 0.000 x2
3 Na 0.250 0.250 0.000 x4
4 U 0.000 0.000 0.500 x2
5 U 0.250 0.250 0.500 x4
6 Cu 0.000 0.500 0.500 x2
7 Te 0.006 0.259 0.277 x8
8 Te 0.238 0.500 0.726 x4
9 Te 0.246 0.000 0.738 x4

Output
energy relative to the elements, uncorrected = -0.676 eV per atom
final energy = -0.182 hartree per atom
density of states at the Fermi level = 30.51 states/eV per cell



DFT (GGA-PBE) results for crystalline Na2VCu2Te4 at its relaxed geometry.

Unit cell a=15.067 b=4.032 c=7.893 alpha=90.00 beta=111.84 gamma=90.00
Space group C2/m (No. 12)
Symmetry-distinct sites (fractional):
1 Na 0.131 0.000 0.078 x4
2 V 0.000 0.000 0.500 x2
3 Cu 0.188 0.500 0.485 x4
4 Te 0.010 0.500 0.262 x4
5 Te 0.198 0.000 0.704 x4

Output
energy relative to the elements, uncorrected = -0.417 eV per atom
final energy = -0.148 hartree per atom
density of states at the Fermi level = 10.50 states/eV per cell



DFT (GGA-PBE) results for crystalline Na2Zr2CuTe6 at its relaxed geometry.

Unit cell a=6.989 b=12.513 c=8.138 alpha=90.00 beta=107.45 gamma=90.00
Space group C2/m (No. 12)
Symmetry-distinct sites (fractional):
1 Na 0.000 0.166 0.000 x4
2 Zr 0.000 0.331 0.500 x4
3 Cu 0.000 0.000 0.500 x2
4 Te 0.242 0.000 0.294 x4
5 Te 0.242 0.165 0.719 x8

Output
energy relative to the elements, uncorrected = -0.669 eV per atom
final energy = -0.167 hartree per atom
density of states at the Fermi level = 12.51 states/eV per cell



DFT (GGA-PBE) results for crystalline Na2ZrCuTe4 at its relaxed geometry.

Unit cell a=7.601 b=4.067 c=7.980 alpha=90.00 beta=110.60 gamma=90.00
Space group P2/m (No. 10)
Symmetry-distinct sites (fractional):
1 Na 0.000 0.000 0.000 x1
2 Na 0.500 0.500 0.000 x1
3 Zr 0.000 0.500 0.500 x1
4 Cu 0.500 0.000 0.500 x1
5 Te 0.220 0.000 0.741 x2
6 Te 0.286 0.500 0.321 x2

Output
energy relative to the elements, uncorrected = -0.627 eV per atom
final energy = -0.151 hartree per atom
density of states at the Fermi level = 4.28 states/eV per cell